No. 1
Entry from Alexandria via LeMat-Bulk: crystalline PmHo7Tm3 at its relaxed geometry (PBE).

The structure in CIF format:
```
data_PmHo7Tm3
_symmetry_space_group_name_H-M 'P 1 2/m 1'
_symmetry_Int_Tables_number 10
_symmetry_space_group_name_Hall '-P 2y'
_cell_length_a 6.896
_cell_length_b 5.495
_cell_length_c 9.806
_cell_angle_alpha 90.00
_cell_angle_beta 109.51
_cell_angle_gamma 90.00
loop_
_atom_site_label
_atom_site_type_symbol
_atom_site_fract_x
_atom_site_fract_y
_atom_site_fract_z
Pm1 Pm 0.000 0.000 0.000
Ho1 Ho 0.000 0.000 0.500
Ho2 Ho 0.148 0.500 0.790
Ho3 Ho 0.325 0.500 0.143
Ho4 Ho 0.426 0.000 0.332
Tm1 Tm 0.276 0.500 0.496
Tm2 Tm 0.500 0.000 0.000
```

Distance to the lowest polymorph of the same formula ... 0.000 eV/f.u.
DOS at the Fermi energy ... 1.570 states/eV per atom

No. 2
Entry from Alexandria via LeMat-Bulk: crystalline In2IrO6 at its relaxed geometry (PBE).

The structure in CIF format:
```
data_In2IrO6
_symmetry_space_group_name_H-M 'P n n m'
_symmetry_Int_Tables_number 58
_symmetry_space_group_name_Hall '-P 2 2n'
_cell_length_a 5.102
_cell_length_b 5.531
_cell_length_c 8.815
_cell_angle_alpha 90.00
_cell_angle_beta 90.00
_cell_angle_gamma 90.00
loop_
_atom_site_label
_atom_site_type_symbol
_atom_site_fract_x
_atom_site_fract_y
_atom_site_fract_z
In1 In 0.000 0.000 0.196
Ir1 Ir 0.000 0.500 0.000
O1 O 0.190 0.192 0.000
O2 O 0.211 0.653 0.156
```

Distance to the lowest polymorph of the same formula ... 0.189 eV/f.u.
E_form (uncorrected) ... -1.0650 eV/atom
DOS at the Fermi energy ... 0.539 states/eV per atom

No. 3
Entry from Alexandria via LeMat-Bulk: crystalline TlS2F at its relaxed geometry (PBE).

The structure in CIF format:
```
data_TlS2F
_symmetry_space_group_name_H-M 'P 1 21 1'
_symmetry_Int_Tables_number 4
_symmetry_space_group_name_Hall 'P 2yb'
_cell_length_a 3.971
_cell_length_b 3.684
_cell_length_c 14.511
_cell_angle_alpha 90.00
_cell_angle_beta 96.97
_cell_angle_gamma 90.00
loop_
_atom_site_label
_atom_site_type_symbol
_atom_site_fract_x
_atom_site_fract_y
_atom_site_fract_z
Tl1 Tl 0.200 0.000 0.392
S1 S 0.224 0.517 0.151
S2 S 0.437 0.963 0.111
F1 F 0.277 0.999 0.564
```

Distance to the lowest polymorph of the same formula ... 0.000 eV/f.u.
E_form (uncorrected) ... -0.7148 eV/atom
DOS at the Fermi energy ... 0.008 states/eV per atom

No. 4
Entry from Alexandria via LeMat-Bulk: crystalline Ca2AlZn2 at its relaxed geometry (PBE).

The structure in CIF format:
```
data_Ca2AlZn2
_symmetry_space_group_name_H-M 'I 4/m m m'
_symmetry_Int_Tables_number 139
_symmetry_space_group_name_Hall '-I 4 2'
_cell_length_a 3.661
_cell_length_b 3.661
_cell_length_c 18.847
_cell_angle_alpha 90.00
_cell_angle_beta 90.00
_cell_angle_gamma 90.00
loop_
_atom_site_label
_atom_site_type_symbol
_atom_site_fract_x
_atom_site_fract_y
_atom_site_fract_z
Ca1 Ca 0.000 0.000 0.103
Al1 Al 0.000 0.000 0.500
Zn1 Zn 0.000 0.500 0.250
```

Distance to the lowest polymorph of the same formula ... 1.037 eV/f.u.
DOS at the Fermi energy ... 0.607 states/eV per atom

No. 5
Entry from Alexandria via LeMat-Bulk: crystalline NbP2RhO at its relaxed geometry (PBE).

The structure in CIF format:
```
data_NbP2RhO
_symmetry_space_group_name_H-M 'P 4/m m m'
_symmetry_Int_Tables_number 123
_symmetry_space_group_name_Hall '-P 4 2'
_cell_length_a 4.900
_cell_length_b 4.900
_cell_length_c 3.795
_cell_angle_alpha 90.00
_cell_angle_beta 90.00
_cell_angle_gamma 90.00
loop_
_atom_site_label
_atom_site_type_symbol
_atom_site_fract_x
_atom_site_fract_y
_atom_site_fract_z
Nb1 Nb 0.000 0.000 0.000
P1 P 0.000 0.500 0.000
Rh1 Rh 0.500 0.500 0.500
O1 O 0.000 0.000 0.500
```

Distance to the lowest polymorph of the same formula ... 0.000 eV/f.u.
E_form (uncorrected) ... 0.0092 eV/atom
DOS at the Fermi energy ... 1.058 states/eV per atom

No. 6
Entry from Alexandria via LeMat-Bulk: crystalline Cs2MgAu2I6 at its relaxed geometry (PBE).

The structure in CIF format:
```
data_Cs2MgAu2I6
_symmetry_space_group_name_H-M 'C 1 2/m 1'
_symmetry_Int_Tables_number 12
_symmetry_space_group_name_Hall '-C 2y'
_cell_length_a 15.192
_cell_length_b 8.454
_cell_length_c 8.826
_cell_angle_alpha 90.00
_cell_angle_beta 121.34
_cell_angle_gamma 90.00
loop_
_atom_site_label
_atom_site_type_symbol
_atom_site_fract_x
_atom_site_fract_y
_atom_site_fract_z
Cs1 Cs 0.229 0.000 0.221
Mg1 Mg 0.000 0.000 0.500
Au1 Au 0.079 0.500 0.279
I1 I 0.035 0.234 0.770
I2 I 0.235 0.000 0.693
```

E_form (uncorrected) ... -0.8144 eV/atom

Record-wise calculated volume values, in Å³/atom: 31.84 13.82 26.34 25.26 18.22 44.01
Record-wise calculated total energy values, in eV per atom: -4.42 -5.96 -3.84 -2.13 -6.63 -2.56